{
  "formula": "SrYCd",
  "functional": "PBE-GGA",
  "state": "relaxed",
  "formation_enthalpy_0k_kj_per_mol_atoms": 9,
  "space_group": "F-43m",
  "e_tot_ev_per_cell": -8.8,
  "lattice_angstrom": [[5.409, 0.000, 0.000], [2.704, 4.684, 0.000], [2.704, 1.561, 4.416]],
  "species": ["Y", "Cd", "Sr"],
  "fractional_positions": [[0.500, 0.500, 0.500], [0.750, 0.750, 0.750], [0.000, 0.000, 0.000]]
}